Density functional theory data (GGA+U) for Mg3MoF after structural relaxation.

POSCAR file:
```
Mg3MoF
1.0
-0.598 5.575 0.081
-4.204 -0.397 -3.690
-3.663 -0.454 4.221
Mo Mg F
1 3 1
Direct
0.000 0.000 0.000
0.000 0.500 0.000
0.000 0.000 0.500
0.500 0.000 0.000
0.500 0.500 0.500
```

energy relative to the lowest polymorph listed for this composition: 851 meV/atom
total magnetic moment: 0.977 μB/atom
SG: Pm-3m, No. 221